Entry 1:
## NiTeAu2 (PBE-GGA)

Data for crystalline NiTeAu2 at its relaxed geometry.

Lattice parameters (Å, degrees): 3.708 3.705 5.464 90.00 90.00 90.00
Atoms (fractional coordinates):
Au 0.000 0.000 0.489
Au 0.000 0.000 0.011
Ni 0.500 0.500 0.250
Te 0.500 0.500 0.750

Calculated values
- Volume: 18.763 Å³/atom
- D(E_F): 2.04 states/eV/cell
- Calculated total energy: -3.63 eV/atom
- Uncorrected formation energy: 0.237 eV/atom
- SG: P4/mmm (123)

---

Entry 2:
## NiTe2Au (PBE-GGA)

Data for crystalline NiTe2Au at its relaxed geometry.

Lattice parameters (Å, degrees): 3.790 4.988 4.980 73.53 90.00 90.00
Atoms (fractional coordinates):
Te 0.000 0.534 0.534
Te 0.000 0.966 0.966
Au 0.500 0.250 0.250
Ni 0.500 0.750 0.750

Calculated values
- Volume: 22.574 Å³/atom
- D(E_F): 2.84 states/eV/cell
- Calculated total energy: -3.75 eV/atom
- Uncorrected formation energy: 0.089 eV/atom
- Polymorph energy (0 for the lowest one): 170 meV/atom
- SG: Cmmm (65)

---

Entry 3:
## NiTeAu2 (PBE-GGA)

Data for crystalline NiTeAu2 at its relaxed geometry.

Lattice parameters (Å, degrees): 6.481 6.481 6.481 152.47 140.81 48.56
Atoms (fractional coordinates):
Te 0.320 0.820 0.500
Au 0.675 0.175 0.500
Au 0.016 0.016 0.000
Ni 0.489 0.489 0.000

Calculated values
- Volume: 19.801 Å³/atom
- D(E_F): 2.87 states/eV/cell
- Calculated total energy: -3.77 eV/atom
- Uncorrected formation energy: 0.098 eV/atom
- SG: Imm2 (44)